Entry 1:
DFT (PBE-GGA) results for a relaxed Th4Bi2PtN2 crystal. Values from VASP.

The structure in Quantum ESPRESSO input format:
```
&SYSTEM
  ibrav = 0, nat = 9, ntyp = 4
/
ATOMIC_SPECIES
Bi 208.98 Bi.upf
Th 232.04 Th.upf
N 14.01 N.upf
Pt 195.08 Pt.upf
ATOMIC_POSITIONS crystal
Bi 0.870 0.473 0.740
Bi 0.130 0.527 0.260
Th 0.787 0.839 0.574
Th 0.462 0.230 0.924
N 0.318 0.010 0.636
N 0.682 0.990 0.364
Th 0.213 0.161 0.426
Pt 0.000 0.000 0.000
Th 0.538 0.770 0.076
CELL_PARAMETERS angstrom
-3.979 -0.331 1.140
1.921 -5.023 5.250
2.182 7.740 2.297
```

Results
Its space-group type is C2/m (12).

Entry 2:
DFT (PBE-GGA) results for a relaxed VBiPtN2 crystal. Values from VASP.

The structure in Quantum ESPRESSO input format:
```
&SYSTEM
  ibrav = 0, nat = 5, ntyp = 4
/
ATOMIC_SPECIES
N 14.01 N.upf
Pt 195.08 Pt.upf
V 50.94 V.upf
Bi 208.98 Bi.upf
ATOMIC_POSITIONS crystal
N 0.000 0.000 0.500
Pt 0.000 0.500 0.000
V 0.000 0.000 0.000
N 0.500 0.000 0.000
Bi 0.500 0.500 0.500
CELL_PARAMETERS angstrom
-1.490 2.502 -2.528
0.412 -3.631 -3.837
-3.544 -1.275 0.827
```

Results
Its space-group type is P4/mmm (123).

Entry 3:
DFT (PBE-GGA) results for a relaxed YBi2PtN crystal. Values from VASP.

The structure in Quantum ESPRESSO input format:
```
&SYSTEM
  ibrav = 0, nat = 5, ntyp = 4
/
ATOMIC_SPECIES
N 14.01 N.upf
Bi 208.98 Bi.upf
Y 88.91 Y.upf
Pt 195.08 Pt.upf
ATOMIC_POSITIONS crystal
N 0.500 0.500 0.500
Bi 0.500 0.000 0.000
Y 0.000 0.000 0.000
Pt 0.000 0.500 0.000
Bi 0.000 0.000 0.500
CELL_PARAMETERS angstrom
-0.152 -5.950 -0.377
4.284 -0.292 2.888
-3.342 -0.227 4.935
```

Results
Its space-group type is P4/mmm (123).

Entry 4:
DFT (PBE-GGA) results for a relaxed Pu5Bi3N crystal. Values from VASP.

The structure in Quantum ESPRESSO input format:
```
&SYSTEM
  ibrav = 0, nat = 18, ntyp = 3
/
ATOMIC_SPECIES
Pu 244.00 Pu.upf
Bi 208.98 Bi.upf
N 14.01 N.upf
ATOMIC_POSITIONS crystal
Pu 0.750 0.206 0.206
Bi 0.750 0.605 0.605
Pu 0.000 0.333 0.667
Pu 0.500 0.333 0.667
Pu 0.750 0.000 0.794
Pu 0.250 0.000 0.206
Bi 0.750 0.000 0.395
N 0.000 0.000 0.000
Pu 0.250 0.794 0.794
N 0.500 0.000 0.000
Pu 0.000 0.667 0.333
Bi 0.750 0.395 0.000
Pu 0.500 0.667 0.333
Bi 0.250 0.000 0.605
Bi 0.250 0.605 0.000
Pu 0.750 0.794 0.000
Bi 0.250 0.395 0.395
Pu 0.250 0.206 0.000
CELL_PARAMETERS angstrom
6.175 0.000 0.000
0.000 9.429 0.000
0.000 -4.715 8.166
```

Results
Its space-group type is P6_3/mcm (193).

Entry 5:
DFT (PBE-GGA) results for a relaxed PuBiN crystal. Values from VASP.

The structure in Quantum ESPRESSO input format:
```
&SYSTEM
  ibrav = 0, nat = 6, ntyp = 3
/
ATOMIC_SPECIES
Bi 208.98 Bi.upf
N 14.01 N.upf
Pu 244.00 Pu.upf
ATOMIC_POSITIONS crystal
Bi 0.644 0.697 0.578
N 0.814 0.366 0.920
Bi 0.483 0.536 0.261
Pu 0.872 0.925 0.036
Pu 0.255 0.308 0.803
N 0.314 0.866 0.920
CELL_PARAMETERS angstrom
-0.428 3.859 0.056
-2.954 -0.364 2.495
7.692 -1.178 5.924
```

Results
Its space-group type is C2/m (12).

Entry 6:
DFT (PBE-GGA) results for a relaxed Pu6Bi2N crystal. Values from VASP.

The structure in Quantum ESPRESSO input format:
```
&SYSTEM
  ibrav = 0, nat = 18, ntyp = 3
/
ATOMIC_SPECIES
Pu 244.00 Pu.upf
N 14.01 N.upf
Bi 208.98 Bi.upf
ATOMIC_POSITIONS crystal
Pu 0.747 0.253 0.000
Pu 0.753 0.247 0.500
Pu 0.000 0.000 0.251
Pu 0.253 0.747 0.000
Pu 0.253 0.253 0.000
Pu 0.747 0.747 0.000
N 0.500 0.500 0.000
Pu 0.500 0.500 0.249
Bi 0.500 0.000 0.250
Pu 0.000 0.000 0.749
Pu 0.500 0.500 0.751
Pu 0.247 0.247 0.500
Bi 0.500 0.000 0.750
Pu 0.247 0.753 0.500
Bi 0.000 0.500 0.750
Bi 0.000 0.500 0.250
N 0.000 0.000 0.500
Pu 0.753 0.753 0.500
CELL_PARAMETERS angstrom
6.942 0.000 -0.202
0.000 6.944 0.000
0.285 0.000 9.743
```

Results
Its space-group type is I4/mmm (139).

Entry 7:
DFT (PBE-GGA) results for a relaxed PuBiN crystal. Values from VASP.

The structure in Quantum ESPRESSO input format:
```
&SYSTEM
  ibrav = 0, nat = 3, ntyp = 3
/
ATOMIC_SPECIES
Bi 208.98 Bi.upf
N 14.01 N.upf
Pu 244.00 Pu.upf
ATOMIC_POSITIONS crystal
Bi 0.667 0.333 0.667
N 0.167 0.000 0.000
Pu 0.167 0.667 0.333
CELL_PARAMETERS angstrom
5.696 0.000 0.000
0.000 3.707 0.000
0.000 -1.853 3.210
```

Results
Its space-group type is P-6m2 (187).

Entry 8:
DFT (PBE-GGA) results for a relaxed Pu6Bi3N2 crystal. Values from VASP.

The structure in Quantum ESPRESSO input format:
```
&SYSTEM
  ibrav = 0, nat = 11, ntyp = 3
/
ATOMIC_SPECIES
Bi 208.98 Bi.upf
Pu 244.00 Pu.upf
N 14.01 N.upf
ATOMIC_POSITIONS crystal
Bi 0.819 0.819 0.639
Bi 0.181 0.181 0.361
Pu 0.413 0.913 0.826
Pu 0.087 0.587 0.174
Pu 0.587 0.087 0.174
Pu 0.913 0.413 0.826
Pu 0.306 0.306 0.611
Pu 0.694 0.694 0.389
Bi 0.000 0.000 0.000
N 0.608 0.608 0.216
N 0.392 0.392 0.784
CELL_PARAMETERS angstrom
-4.289 -1.357 -1.261
-0.695 -1.769 4.267
-2.410 13.279 2.556
```

Results
Its space-group type is I4/mmm (139).

Entry 9:
DFT (PBE-GGA) results for a relaxed PuBiN crystal. Values from VASP.

The structure in Quantum ESPRESSO input format:
```
&SYSTEM
  ibrav = 0, nat = 3, ntyp = 3
/
ATOMIC_SPECIES
N 14.01 N.upf
Bi 208.98 Bi.upf
Pu 244.00 Pu.upf
ATOMIC_POSITIONS crystal
N 0.266 0.266 0.532
Bi 0.003 0.003 0.007
Pu 0.731 0.731 0.462
CELL_PARAMETERS angstrom
-0.254 -2.989 1.170
3.208 -0.195 0.197
-1.700 3.941 5.271
```

Results
Its space-group type is I4mm (107).

Entry 10:
DFT (PBE-GGA) results for a relaxed Pu2BiN crystal. Values from VASP.

The structure in Quantum ESPRESSO input format:
```
&SYSTEM
  ibrav = 0, nat = 4, ntyp = 3
/
ATOMIC_SPECIES
Pu 244.00 Pu.upf
Bi 208.98 Bi.upf
N 14.01 N.upf
ATOMIC_POSITIONS crystal
Pu 0.056 0.056 0.832
Bi 0.500 0.500 0.501
N 0.667 0.667 0.999
Pu 0.277 0.277 0.168
CELL_PARAMETERS angstrom
-2.551 2.121 -1.310
-2.975 0.583 1.880
1.654 7.296 3.737
```

Results
Its space-group type is R3m (160).

Entry 11:
DFT (PBE-GGA) results for a relaxed Pu3BiN3 crystal. Values from VASP.

The structure in Quantum ESPRESSO input format:
```
&SYSTEM
  ibrav = 0, nat = 14, ntyp = 3
/
ATOMIC_SPECIES
Pu 244.00 Pu.upf
N 14.01 N.upf
Bi 208.98 Bi.upf
ATOMIC_POSITIONS crystal
Pu 0.250 0.947 0.682
N 0.250 0.024 0.240
N 0.250 0.760 0.784
N 0.750 0.784 0.024
Pu 0.750 0.682 0.735
Pu 0.750 0.265 0.947
Pu 0.250 0.318 0.265
Pu 0.250 0.735 0.053
Pu 0.750 0.053 0.318
Bi 0.750 0.667 0.333
N 0.250 0.216 0.976
Bi 0.250 0.333 0.667
N 0.750 0.240 0.216
N 0.750 0.976 0.760
CELL_PARAMETERS angstrom
4.250 0.000 0.000
0.000 7.594 -4.384
0.000 0.000 8.769
```

Results
Its space-group type is P6_3/m (176).

Entry 12:
DFT (PBE-GGA) results for a relaxed Pu3BiN3 crystal. Values from VASP.

The structure in Quantum ESPRESSO input format:
```
&SYSTEM
  ibrav = 0, nat = 14, ntyp = 3
/
ATOMIC_SPECIES
N 14.01 N.upf
Pu 244.00 Pu.upf
Bi 208.98 Bi.upf
ATOMIC_POSITIONS crystal
N 0.867 0.545 0.388
N 0.455 0.800 0.612
N 0.200 0.867 0.388
Pu 0.108 0.771 0.672
Bi 0.666 0.666 0.001
Bi 0.334 0.334 0.999
Pu 0.229 0.550 0.328
Pu 0.892 0.229 0.328
N 0.545 0.200 0.388
Pu 0.771 0.450 0.672
N 0.133 0.455 0.612
Pu 0.450 0.108 0.672
Pu 0.550 0.892 0.328
N 0.800 0.133 0.612
CELL_PARAMETERS angstrom
6.590 0.000 0.000
3.295 5.707 0.000
3.295 1.902 7.936
```

Results
Its space-group type is R-3 (148).

For each record above, in turn, the calculated calculated total energy values are -7.905, -6.748, -4.217, -10.722, -9.662, -11.757, -9.396, -11.007, -9.337, -10.968, -11.103, -11.288 eV per atom.
For each record above, in turn, the calculated formation energy without anion corrections values are -1.22, 0.39, 1.50, -0.54, -0.82, -0.41, -0.55, -0.62, -0.49, -0.75, -0.84, -1.02 eV per atom.
For each record above, in turn, the calculated calculated density values are 11.102, 10.178, 6.459, 12.997, 10.955, 13.395, 11.440, 12.093, 11.677, 13.219, 11.537, 10.938 g/cm³.